! GGA-PBE TlI, optimized geometry; values from VASP
&SYSTEM
  ibrav = 0, nat = 4, ntyp = 2
/
ATOMIC_SPECIES
I 126.90 I.upf
Tl 204.38 Tl.upf
ATOMIC_POSITIONS crystal
I 0.1327 0.8673 0.7500
I 0.8673 0.1327 0.2500
Tl 0.3842 0.6158 0.7500
Tl 0.6158 0.3842 0.2500
CELL_PARAMETERS angstrom
7.0976 -0.0267 0.0000
-5.5199 4.4618 0.0000
0.0000 0.0000 5.2948
! D(E_F)	0.00	states/eV per cell
! ΔE to the lowest computed polymorph	0.023	eV/atom
! symmetry	Cmcm
! raw formation energy	-1.28	eV per formula unit


! GGA-PBE PmEr3Hg4, optimized geometry; values from VASP
&SYSTEM
  ibrav = 0, nat = 8, ntyp = 3
/
ATOMIC_SPECIES
Pm 145.00 Pm.upf
Er 167.26 Er.upf
Hg 200.59 Hg.upf
ATOMIC_POSITIONS crystal
Pm 0.5000 0.0000 0.0000
Er 0.0000 0.5000 0.0000
Er 0.1718 0.0805 0.3435
Er 0.8282 0.9195 0.6565
Hg 0.2553 0.6690 0.5105
Hg 0.7447 0.3310 0.4895
Hg 0.6126 0.6392 0.2252
Hg 0.3874 0.3608 0.7748
CELL_PARAMETERS angstrom
5.2676 0.0000 0.0000
0.0000 5.9588 -0.2415
-2.6338 -2.0693 6.9275
! D(E_F)	6.96	states/eV per cell
! ΔE to the lowest computed polymorph	0.190	eV/atom
! symmetry	C2/m
! ΔE_f	-220	kJ/mol of formula units


! GGA-PBE TbCo5P2, optimized geometry; values from VASP
&SYSTEM
  ibrav = 0, nat = 8, ntyp = 3
/
ATOMIC_SPECIES
Tb 158.93 Tb.upf
Co 58.93 Co.upf
P 30.97 P.upf
ATOMIC_POSITIONS crystal
Tb 0.0000 0.0000 0.0000
Co 0.0000 0.5000 0.5000
Co 0.6499 0.5409 0.1593
Co 0.3501 0.4591 0.8407
Co 0.3501 0.8407 0.4591
Co 0.6499 0.1593 0.5409
P 0.7564 0.7436 0.7436
P 0.2436 0.2564 0.2564
CELL_PARAMETERS angstrom
-1.0697 3.3171 0.8061
1.4573 1.0781 5.4353
4.6438 3.3348 0.3775
! D(E_F)	9.04	states/eV per cell
! symmetry	Immm
! ΔE_f	-496	kJ/mol of formula units


! GGA-PBE RbSr2ZnRh, optimized geometry; values from VASP
&SYSTEM
  ibrav = 0, nat = 5, ntyp = 4
/
ATOMIC_SPECIES
Sr 87.62 Sr.upf
Zn 65.41 Zn.upf
Rh 102.91 Rh.upf
Rb 85.47 Rb.upf
ATOMIC_POSITIONS crystal
Sr 0.0000 0.5000 0.0000
Sr 0.5000 0.0000 0.0000
Zn 0.0000 0.0000 0.5000
Rh 0.0000 0.0000 0.0000
Rb 0.5000 0.5000 0.5000
CELL_PARAMETERS angstrom
-4.9757 -2.6817 1.5646
2.9887 -3.3365 3.7858
-0.7515 3.5822 3.7503
! D(E_F)	3.76	states/eV per cell
! symmetry	P4/mmm
! ΔE_f	-20	kJ/mol of formula units